No. 1
A plane-wave DFT calculation with PBEsol was carried out for a relaxed structure of As2BrCl.

Properties
Formation energy (no corrections): 5 kJ/mol of formula units
Final energy: -3.510 eV per atom
Polymorph energy (0 for the lowest one): 0.296 eV per atom
Fermi-level density of states: 0.382 states/eV/atom

Cell: 5.6742 5.6742 6.8158 Å, 126.60 126.60 36.12°
Fractional positions:
As 0.2440 0.2440 0.1293
As 0.7560 0.7560 0.8707
Br 0.0000 0.0000 0.5000
Cl 0.5000 0.5000 0.0000

No. 2
A plane-wave DFT calculation with PBEsol was carried out for a relaxed structure of InHg3.

Properties
Final energy: -1.176 eV per atom
Fermi-level density of states: 0.349 states/eV/atom

Cell: 3.2535 4.9986 5.9649 Å, 90.00 98.47 90.00°
Fractional positions:
In 0.0000 0.0000 0.0000
Hg 0.2515 0.5000 0.7471
Hg 0.5000 0.0000 0.5000
Hg 0.7485 0.5000 0.2529

No. 3
A plane-wave DFT calculation with PBEsol was carried out for a relaxed structure of Zr2InCo2.

Properties
Final energy: -7.722 eV per atom
Fermi-level density of states: 0.898 states/eV/atom

Cell: 7.0856 7.0856 3.2528 Å, 90.00 90.00 90.00°
Fractional positions:
Zr 0.1678 0.3322 0.0000
Zr 0.3322 0.8322 0.0000
Zr 0.6678 0.1678 0.0000
Zr 0.8322 0.6678 0.0000
In 0.0000 0.0000 0.5000
In 0.5000 0.5000 0.5000
Co 0.1272 0.6272 0.5000
Co 0.3728 0.1272 0.5000
Co 0.6272 0.8728 0.5000
Co 0.8728 0.3728 0.5000

No. 4
A plane-wave DFT calculation with PBEsol was carried out for a relaxed structure of SiTc2SnTe.

Properties
Formation energy (no corrections): 536 kJ/mol of formula units
Final energy: -6.103 eV per atom
Fermi-level density of states: 1.072 states/eV/atom

Cell: 4.5756 4.5756 5.0464 Å, 90.00 90.00 90.00°
Fractional positions:
Si 0.0000 0.0000 0.0000
Tc 0.0000 0.5000 0.0000
Tc 0.5000 0.0000 0.0000
Sn 0.5000 0.5000 0.5000
Te 0.0000 0.0000 0.5000

No. 5
A plane-wave DFT calculation with PBEsol was carried out for a relaxed structure of CrAs2S.

Properties
Formation energy (no corrections): 182 kJ/mol of formula units
Final energy: -5.739 eV per atom
Fermi-level density of states: 0.903 states/eV/atom

Cell: 6.7815 6.7815 6.7815 Å, 131.33 131.33 71.28°
Fractional positions:
Cr 0.0000 0.0000 0.0000
Cr 0.7500 0.2500 0.5000
As 0.0934 0.6250 0.9684
As 0.3750 0.3434 0.4684
As 0.6566 0.1250 0.0316
As 0.8750 0.9066 0.5316
S 0.2500 0.7500 0.5000
S 0.5000 0.5000 0.0000

No. 6
A plane-wave DFT calculation with PBEsol was carried out for a relaxed structure of Gd3As5O12.

Properties
Formation energy (no corrections): -4117 kJ/mol of formula units
Final energy: -8.727 eV per atom
Fermi-level density of states: 0.000 states/eV/atom

Cell: 9.1533 9.1533 9.1533 Å, 109.47 109.47 109.47°
Fractional positions:
Gd 0.2500 0.5000 0.7500
Gd 0.2500 0.7500 0.5000
Gd 0.5000 0.2500 0.7500
Gd 0.5000 0.7500 0.2500
Gd 0.7500 0.2500 0.5000
Gd 0.7500 0.5000 0.2500
As 0.0000 0.0000 0.4990
As 0.0000 0.2857 0.2857
As 0.0000 0.4990 0.0000
As 0.0000 0.7143 0.7143
As 0.2857 0.0000 0.2857
As 0.2857 0.2857 0.0000
As 0.4990 0.0000 0.0000
As 0.5010 0.5010 0.5010
As 0.7143 0.0000 0.7143
As 0.7143 0.7143 0.0000
O 0.0000 0.1911 0.4734
O 0.0000 0.4734 0.1911
O 0.0000 0.5167 0.7046
O 0.0000 0.7046 0.5167
O 0.1879 0.4833 0.4833
O 0.1911 0.0000 0.4734
O 0.1911 0.4734 0.0000
O 0.2823 0.8089 0.8089
O 0.2954 0.2954 0.8121
O 0.2954 0.8121 0.2954
O 0.4734 0.0000 0.1911
O 0.4734 0.1911 0.0000
O 0.4833 0.1879 0.4833
O 0.4833 0.4833 0.1879
O 0.5167 0.0000 0.7046
O 0.5167 0.7046 0.0000
O 0.5266 0.5266 0.7177
O 0.5266 0.7177 0.5266
O 0.7046 0.0000 0.5167
O 0.7046 0.5167 0.0000
O 0.7177 0.5266 0.5266
O 0.8089 0.2823 0.8089
O 0.8089 0.8089 0.2823
O 0.8121 0.2954 0.2954

No. 7
A plane-wave DFT calculation with PBEsol was carried out for a relaxed structure of Ag4AuBr.

Properties
Formation energy (no corrections): 174 kJ/mol of formula units
Final energy: -2.872 eV per atom
Fermi-level density of states: 0.361 states/eV/atom

Cell: 5.4351 5.4351 5.4351 Å, 60.00 60.00 60.00°
Fractional positions:
Ag 0.3756 0.3756 0.3756
Ag 0.3756 0.3756 0.8734
Ag 0.3756 0.8734 0.3756
Ag 0.8734 0.3756 0.3756
Au 0.7500 0.7500 0.7500
Br 0.0000 0.0000 0.0000

No. 8
A plane-wave DFT calculation with PBEsol was carried out for a relaxed structure of K2SnPCO7.

Properties
Formation energy (no corrections): -2135 kJ/mol of formula units
Final energy: -6.736 eV per atom
Fermi-level density of states: 0.213 states/eV/atom

Cell: 5.7763 6.9397 9.7910 Å, 90.00 90.45 90.00°
Fractional positions:
K 0.2444 0.0175 0.2786
K 0.2444 0.4825 0.2786
K 0.7556 0.5175 0.7214
K 0.7556 0.9825 0.7214
Sn 0.3005 0.2500 0.8815
Sn 0.6995 0.7500 0.1185
P 0.2254 0.7500 0.9268
P 0.7746 0.2500 0.0732
C 0.2407 0.2500 0.6112
C 0.7593 0.7500 0.3888
O 0.0438 0.2500 0.0738
O 0.0658 0.2500 0.6979
O 0.2119 0.2500 0.4846
O 0.3167 0.7500 0.0774
O 0.3197 0.5697 0.8502
O 0.3197 0.9303 0.8502
O 0.4453 0.2500 0.6715
O 0.5547 0.7500 0.3285
O 0.6803 0.0697 0.1498
O 0.6803 0.4303 0.1498
O 0.6833 0.2500 0.9226
O 0.7881 0.7500 0.5154
O 0.9342 0.7500 0.3021
O 0.9562 0.7500 0.9262

No. 9
A plane-wave DFT calculation with PBEsol was carried out for a relaxed structure of Zr3GaOs.

Properties
Final energy: -7.564 eV per atom
Fermi-level density of states: 1.313 states/eV/atom

Cell: 4.8082 4.8082 4.8082 Å, 90.00 90.00 90.00°
Fractional positions:
Zr 0.0000 0.0000 0.5000
Zr 0.0000 0.5000 0.0000
Zr 0.5000 0.0000 0.0000
Ga 0.0000 0.0000 0.0000
Os 0.5000 0.5000 0.5000

No. 10
A plane-wave DFT calculation with PBEsol was carried out for a relaxed structure of BaSi2P.

Properties
Formation energy (no corrections): -6 kJ/mol of formula units
Final energy: -4.874 eV per atom
Fermi-level density of states: 0.457 states/eV/atom

Cell: 5.7127 5.7127 5.7127 Å, 145.95 121.46 69.48°
Fractional positions:
Ba 0.0000 0.0000 0.0000
Si 0.3098 0.8098 0.5000
Si 0.6902 0.1902 0.5000
P 0.5000 0.5000 0.0000

No. 11
A plane-wave DFT calculation with PBEsol was carried out for a relaxed structure of Ba3SbI3.

Properties
Formation energy (no corrections): -1045 kJ/mol of formula units
Final energy: -3.877 eV per atom

Cell: 12.0840 12.0840 12.0840 Å, 109.47 109.47 109.47°
Fractional positions:
Ba 0.0055 0.0110 0.2555
Ba 0.0055 0.4945 0.7500
Ba 0.0110 0.2555 0.0055
Ba 0.2445 0.2555 0.7500
Ba 0.2445 0.4890 0.4945
Ba 0.2555 0.0055 0.0110
Ba 0.2555 0.7500 0.2445
Ba 0.4890 0.4945 0.2445
Ba 0.4945 0.2445 0.4890
Ba 0.4945 0.7500 0.0055
Ba 0.7500 0.0055 0.4945
Ba 0.7500 0.2445 0.2555
Sb 0.0000 0.2500 0.5000
Sb 0.2500 0.2500 0.2500
Sb 0.2500 0.5000 0.0000
Sb 0.5000 0.0000 0.2500
I 0.0005 0.0010 0.7505
I 0.0005 0.4995 0.2500
I 0.0010 0.7505 0.0005
I 0.2500 0.0005 0.4995
I 0.2500 0.7495 0.7505
I 0.4990 0.4995 0.7495
I 0.4995 0.2500 0.0005
I 0.4995 0.7495 0.4990
I 0.7505 0.0005 0.0010
I 0.7505 0.2500 0.7495
I 0.7495 0.4990 0.4995
I 0.7495 0.7505 0.2500